DFT (PBE) results for an optimized crystal structure of Li2TmHf2Se6.

Computed properties:
The calculation puts the density at 6691 kg/m³. The density of states at the Fermi level is 0.325 states/eV per atom.

```
data_Li2TmHf2Se6
_space_group_name_H-M_alt 'P 1'
_space_group_IT_number 1
_cell_length_a 6.667
_cell_length_b 6.667
_cell_length_c 6.920
_cell_angle_alpha 99.16
_cell_angle_beta 99.16
_cell_angle_gamma 120.32
loop_
_space_group_symop_operation_xyz
'x,y,z'
loop_
_atom_site_label
_atom_site_type_symbol
_atom_site_fract_x
_atom_site_fract_y
_atom_site_fract_z
Li1 Li 0.164 0.836 0.000
Li2 Li 0.836 0.164 0.000
Tm1 Tm 0.000 0.000 0.500
Hf1 Hf 0.334 0.666 0.500
Hf2 Hf 0.666 0.334 0.500
Se1 Se 0.080 0.427 0.745
Se2 Se 0.265 0.265 0.254
Se3 Se 0.427 0.080 0.745
Se4 Se 0.573 0.920 0.255
Se5 Se 0.735 0.735 0.746
Se6 Se 0.920 0.573 0.255
```

DFT (PBE) results for an optimized crystal structure of LiTmHfSe4.

Computed properties:
The calculation puts the density at 6127 kg/m³.

```
data_LiTmHfSe4
_space_group_name_H-M_alt 'P 1'
_space_group_IT_number 1
_cell_length_a 8.017
_cell_length_b 8.017
_cell_length_c 8.017
_cell_angle_alpha 121.36
_cell_angle_beta 118.94
_cell_angle_gamma 89.75
loop_
_space_group_symop_operation_xyz
'x,y,z'
loop_
_atom_site_label
_atom_site_type_symbol
_atom_site_fract_x
_atom_site_fract_y
_atom_site_fract_z
Li1 Li 0.374 0.124 0.250
Li2 Li 0.626 0.876 0.750
Tm1 Tm 0.000 0.500 0.500
Tm2 Tm 0.500 0.500 0.000
Hf1 Hf 0.000 0.000 0.500
Hf2 Hf 0.000 0.500 0.000
Se1 Se 0.230 0.250 0.980
Se2 Se 0.230 0.750 0.480
Se3 Se 0.236 0.239 0.503
Se4 Se 0.236 0.732 0.997
Se5 Se 0.764 0.268 0.003
Se6 Se 0.764 0.761 0.497
Se7 Se 0.770 0.250 0.520
Se8 Se 0.770 0.750 0.020
```

DFT (PBE) results for an optimized crystal structure of Li3Tm2HfSe6.

Computed properties:
The calculation puts the density at 6456 kg/m³. The density of states at the Fermi level is 0.312 states/eV per atom.

```
data_Li3Tm2HfSe6
_space_group_name_H-M_alt 'P 1'
_space_group_IT_number 1
_cell_length_a 6.795
_cell_length_b 6.795
_cell_length_c 6.886
_cell_angle_alpha 99.50
_cell_angle_beta 99.50
_cell_angle_gamma 119.98
loop_
_space_group_symop_operation_xyz
'x,y,z'
loop_
_atom_site_label
_atom_site_type_symbol
_atom_site_fract_x
_atom_site_fract_y
_atom_site_fract_z
Li1 Li 0.000 0.000 0.000
Li2 Li 0.333 0.667 0.000
Li3 Li 0.667 0.333 0.000
Tm1 Tm 0.167 0.833 0.500
Tm2 Tm 0.833 0.167 0.500
Hf1 Hf 0.500 0.500 0.500
Se1 Se 0.094 0.416 0.248
Se2 Se 0.262 0.262 0.750
Se3 Se 0.416 0.094 0.248
Se4 Se 0.584 0.906 0.752
Se5 Se 0.738 0.738 0.250
Se6 Se 0.906 0.584 0.752
```

DFT (PBE) results for an optimized crystal structure of Li2HfUSe4.

Computed properties:
The calculation puts the density at 7213 kg/m³. The density of states at the Fermi level is 0.665 states/eV per atom.

```
data_Li2HfUSe4
_space_group_name_H-M_alt 'P 1'
_space_group_IT_number 1
_cell_length_a 6.710
_cell_length_b 3.852
_cell_length_c 6.996
_cell_angle_alpha 90.00
_cell_angle_beta 108.20
_cell_angle_gamma 90.00
loop_
_space_group_symop_operation_xyz
'x,y,z'
loop_
_atom_site_label
_atom_site_type_symbol
_atom_site_fract_x
_atom_site_fract_y
_atom_site_fract_z
Li1 Li 0.000 0.000 0.000
Li2 Li 0.500 0.500 0.000
Hf1 Hf 0.000 0.500 0.500
U1 U 0.500 0.000 0.500
Se1 Se 0.232 0.500 0.240
Se2 Se 0.235 0.000 0.750
Se3 Se 0.765 0.000 0.250
Se4 Se 0.768 0.500 0.760
```

DFT (PBE) results for an optimized crystal structure of Li4HfU3Se8.

Computed properties:
The calculation puts the density at 7224 kg/m³. The density of states at the Fermi level is 0.805 states/eV per atom.

```
data_Li4HfU3Se8
_space_group_name_H-M_alt 'P 1'
_space_group_IT_number 1
_cell_length_a 8.063
_cell_length_b 8.063
_cell_length_c 8.063
_cell_angle_alpha 58.35
_cell_angle_beta 58.35
_cell_angle_gamma 58.35
loop_
_space_group_symop_operation_xyz
'x,y,z'
loop_
_atom_site_label
_atom_site_type_symbol
_atom_site_fract_x
_atom_site_fract_y
_atom_site_fract_z
Li1 Li 0.000 0.000 0.000
Li2 Li 0.000 0.500 0.500
Li3 Li 0.500 0.000 0.500
Li4 Li 0.500 0.500 0.000
Hf1 Hf 0.500 0.500 0.500
U1 U 0.000 0.000 0.500
U2 U 0.000 0.500 0.000
U3 U 0.500 0.000 0.000
Se1 Se 0.256 0.256 0.256
Se2 Se 0.256 0.256 0.733
Se3 Se 0.256 0.733 0.256
Se4 Se 0.267 0.744 0.744
Se5 Se 0.733 0.256 0.256
Se6 Se 0.744 0.267 0.744
Se7 Se 0.744 0.744 0.267
Se8 Se 0.744 0.744 0.744
```

DFT (PBE) results for an optimized crystal structure of LiHfUSe4.

Computed properties:
The calculation puts the density at 6653 kg/m³. The density of states at the Fermi level is 0.752 states/eV per atom.

```
data_LiHfUSe4
_space_group_name_H-M_alt 'P 1'
_space_group_IT_number 1
_cell_length_a 8.048
_cell_length_b 8.048
_cell_length_c 8.048
_cell_angle_alpha 121.93
_cell_angle_beta 117.69
_cell_angle_gamma 90.36
loop_
_space_group_symop_operation_xyz
'x,y,z'
loop_
_atom_site_label
_atom_site_type_symbol
_atom_site_fract_x
_atom_site_fract_y
_atom_site_fract_z
Li1 Li 0.384 0.134 0.250
Li2 Li 0.616 0.866 0.750
Hf1 Hf 0.000 0.000 0.500
Hf2 Hf 0.000 0.500 0.000
U1 U 0.000 0.500 0.500
U2 U 0.500 0.500 0.000
Se1 Se 0.224 0.247 0.977
Se2 Se 0.229 0.753 0.477
Se3 Se 0.237 0.237 0.499
Se4 Se 0.237 0.738 0.001
Se5 Se 0.763 0.262 0.999
Se6 Se 0.763 0.763 0.501
Se7 Se 0.771 0.247 0.523
Se8 Se 0.776 0.753 0.023
```

DFT (PBE) results for an optimized crystal structure of LiHf2VSe.

Computed properties:
The calculation puts the density at 9099 kg/m³. The density of states at the Fermi level is 0.660 states/eV per atom.

```
data_LiHf2VSe
_space_group_name_H-M_alt 'P 1'
_space_group_IT_number 1
_cell_length_a 4.746
_cell_length_b 4.746
_cell_length_c 4.001
_cell_angle_alpha 90.00
_cell_angle_beta 90.00
_cell_angle_gamma 90.00
loop_
_space_group_symop_operation_xyz
'x,y,z'
loop_
_atom_site_label
_atom_site_type_symbol
_atom_site_fract_x
_atom_site_fract_y
_atom_site_fract_z
Li1 Li 0.000 0.000 0.000
Hf1 Hf 0.000 0.500 0.000
Hf2 Hf 0.500 0.000 0.000
V1 V 0.500 0.500 0.500
Se1 Se 0.000 0.000 0.500
```

DFT (PBE) results for an optimized crystal structure of Li3HfV2Se6.

Computed properties:
The calculation puts the density at 5516 kg/m³. The density of states at the Fermi level is 0.706 states/eV per atom.

```
data_Li3HfV2Se6
_space_group_name_H-M_alt 'P 1'
_space_group_IT_number 1
_cell_length_a 6.479
_cell_length_b 6.479
_cell_length_c 6.773
_cell_angle_alpha 99.18
_cell_angle_beta 99.18
_cell_angle_gamma 120.03
loop_
_space_group_symop_operation_xyz
'x,y,z'
loop_
_atom_site_label
_atom_site_type_symbol
_atom_site_fract_x
_atom_site_fract_y
_atom_site_fract_z
Li1 Li 0.000 0.000 0.000
Li2 Li 0.337 0.663 0.000
Li3 Li 0.663 0.337 0.000
Hf1 Hf 0.500 0.500 0.500
V1 V 0.168 0.832 0.500
V2 V 0.832 0.168 0.500
Se1 Se 0.080 0.421 0.263
Se2 Se 0.237 0.237 0.736
Se3 Se 0.421 0.080 0.263
Se4 Se 0.579 0.920 0.737
Se5 Se 0.763 0.763 0.264
Se6 Se 0.920 0.579 0.737
```

DFT (PBE) results for an optimized crystal structure of LiYHfSe4.

Computed properties:
The calculation puts the density at 5296 kg/m³.

```
data_LiYHfSe4
_space_group_name_H-M_alt 'P 1'
_space_group_IT_number 1
_cell_length_a 8.070
_cell_length_b 8.070
_cell_length_c 8.070
_cell_angle_alpha 121.71
_cell_angle_beta 118.70
_cell_angle_gamma 89.67
loop_
_space_group_symop_operation_xyz
'x,y,z'
loop_
_atom_site_label
_atom_site_type_symbol
_atom_site_fract_x
_atom_site_fract_y
_atom_site_fract_z
Li1 Li 0.375 0.125 0.250
Li2 Li 0.625 0.875 0.750
Y1 Y 0.000 0.500 0.500
Y2 Y 0.500 0.500 0.000
Hf1 Hf 0.000 0.000 0.500
Hf2 Hf 0.000 0.500 0.000
Se1 Se 0.226 0.249 0.978
Se2 Se 0.229 0.751 0.478
Se3 Se 0.234 0.234 0.500
Se4 Se 0.234 0.734 0.000
Se5 Se 0.766 0.266 0.000
Se6 Se 0.766 0.766 0.500
Se7 Se 0.771 0.249 0.522
Se8 Se 0.774 0.751 0.022
```

DFT (PBE) results for an optimized crystal structure of Li2YHf2Se6.

Computed properties:
The calculation puts the density at 6098 kg/m³. The density of states at the Fermi level is 0.346 states/eV per atom.

```
data_Li2YHf2Se6
_space_group_name_H-M_alt 'P 1'
_space_group_IT_number 1
_cell_length_a 6.709
_cell_length_b 6.709
_cell_length_c 6.918
_cell_angle_alpha 99.19
_cell_angle_beta 99.19
_cell_angle_gamma 120.45
loop_
_space_group_symop_operation_xyz
'x,y,z'
loop_
_atom_site_label
_atom_site_type_symbol
_atom_site_fract_x
_atom_site_fract_y
_atom_site_fract_z
Li1 Li 0.163 0.837 0.000
Li2 Li 0.837 0.163 0.000
Y1 Y 0.000 0.000 0.500
Hf1 Hf 0.334 0.666 0.500
Hf2 Hf 0.666 0.334 0.500
Se1 Se 0.080 0.431 0.746
Se2 Se 0.269 0.269 0.252
Se3 Se 0.431 0.080 0.746
Se4 Se 0.569 0.920 0.254
Se5 Se 0.731 0.731 0.748
Se6 Se 0.920 0.569 0.254
```

DFT (PBE) results for an optimized crystal structure of Li2YHfSe.

Computed properties:
The calculation puts the density at 4826 kg/m³. The density of states at the Fermi level is 1.171 states/eV per atom.

```
data_Li2YHfSe
_space_group_name_H-M_alt 'P 1'
_space_group_IT_number 1
_cell_length_a 4.997
_cell_length_b 4.997
_cell_length_c 4.965
_cell_angle_alpha 90.00
_cell_angle_beta 90.00
_cell_angle_gamma 90.00
loop_
_space_group_symop_operation_xyz
'x,y,z'
loop_
_atom_site_label
_atom_site_type_symbol
_atom_site_fract_x
_atom_site_fract_y
_atom_site_fract_z
Li1 Li 0.000 0.500 0.000
Li2 Li 0.500 0.000 0.000
Y1 Y 0.000 0.000 0.500
Hf1 Hf 0.500 0.500 0.000
Se1 Se 0.500 0.500 0.500
```

| no. | V (Å³/cell) | uncorrected formation energy (eV per atom) | uncorrected energy (eV per atom) |
| --- | --- | --- | --- |
| 1 | 252 | -1.44 | -5.904 |
| 2 | 363 | -1.53 | -5.857 |
| 3 | 260 | -1.53 | -5.327 |
| 4 | 172 | -1.21 | -6.089 |
| 5 | 357 | -1.19 | -6.154 |
| 6 | 369 | -1.24 | -6.541 |
| 7 | 90 | 0.74 | -6.145 |
| 8 | 233 | -1.06 | -5.633 |
| 9 | 370 | -1.54 | -6.146 |
| 10 | 254 | -1.44 | -6.088 |
| 11 | 124 | 0.29 | -4.457 |